No. 1
This record from Alexandria describes a relaxed structure of ScTa2Rh. The functional is PBE.

The space group is Immm (No. 71) and the conventional cell measures 3.2448, 4.4875 and 9.7227 Å, with angles of 90.00, 90.00 and 90.00 degrees. Symmetry generates all atoms from Sc at (0.0000, 0.0000, 0.0000), Ta at (0.0000, 0.5000, 0.2385) and Rh at (0.0000, 0.0000, 0.5000).

The density is 12.0 g/cm3. The density of states at the Fermi level comes out at 1.7 states/eV/f.u. Its formation enthalpy at 0 K is -0.36 eV per atom. The value obtained for the final energy is -9.704 eV/atom.

No. 2
This record from Alexandria describes a relaxed structure of LiThZrZn. The functional is PBE.

The space group is F-43m (No. 216) and the conventional cell measures 7.0424, 7.0424 and 7.0424 Å, with angles of 90.00, 90.00 and 90.00 degrees. Symmetry generates all atoms from Li at (0.0000, 0.0000, 0.0000), Th at (0.2500, 0.2500, 0.7500), Zr at (0.2500, 0.2500, 0.2500) and Zn at (0.0000, 0.0000, 0.5000).

The density is 7.5 g/cm3. The density of states at the Fermi level comes out at 3.5 states/eV/f.u. Its formation enthalpy at 0 K is 0.05 eV per atom. The value obtained for the final energy is -4.736 eV/atom.

No. 3
This record from Alexandria describes a relaxed structure of BaLiGe2Au. The functional is PBE.

The space group is I-4m2 (No. 119) and the conventional cell measures 4.6093, 4.6093 and 10.8074 Å, with angles of 90.00, 90.00 and 90.00 degrees. Symmetry generates all atoms from Ba at (0.0000, 0.0000, 0.0000), Li at (0.0000, 0.5000, 0.2500), Ge at (0.0000, 0.0000, 0.3826) and Au at (0.0000, 0.5000, 0.7500).

The density is 7.0 g/cm3. The density of states at the Fermi level comes out at 2.1 states/eV/f.u. Its formation enthalpy at 0 K is -0.52 eV per atom. The value obtained for the final energy is -3.788 eV/atom.

No. 4
This record from Alexandria describes a relaxed structure of LaPm2ReN5. The functional is PBE.

The space group is I4/mcm (No. 140) and the conventional cell measures 6.8315, 6.8315 and 11.5067 Å, with angles of 90.00, 90.00 and 90.00 degrees. Symmetry generates all atoms from La at (0.0000, 0.0000, 0.2500), Pm at (0.1746, 0.3254, 0.0000), Re at (0.0000, 0.5000, 0.2500), N at (0.0000, 0.0000, 0.0000) and N at (0.1478, 0.3522, 0.3520).

The density is 8.5 g/cm3. The density of states at the Fermi level comes out at 0.6 states/eV/f.u. The value obtained for the final energy is -8.681 eV/atom. The uncorrected formation energy is -1069 meV/atom.

Question: Which value of final energy does entry 3 give?
Answer: -3.788 eV/atom